! Mn2Pd2Au, optimized geometry, DFT PBE; values from VASP
! Relative energy among the computed polymorphs ... 424 meV per atom
! DFT total energy ... -6.130 eV per atom
! Formation enthalpy at 0 K ... 0.27 eV/atom
! Mass density ... 11.1 g/cm³
! Spin magnetization ... 3.260 μB per formula unit
&SYSTEM
  ibrav = 0, nat = 5, ntyp = 3
/
ATOMIC_SPECIES
Au 196.97 Au.upf
Mn 54.94 Mn.upf
Pd 106.42 Pd.upf
CELL_PARAMETERS angstrom
3.811 0.399 -0.285
-0.420 3.809 -0.285
-1.354 -1.680 5.500
ATOMIC_POSITIONS crystal
Au 0.000 0.000 0.000
Mn 0.591 0.591 0.183
Pd 0.750 0.250 0.500
Mn 0.409 0.409 0.817
Pd 0.250 0.750 0.500